Entry 1:
NaV3Pd | PBE | relaxed Values from VASP.

Geometry as Quantum ESPRESSO input:
```
&SYSTEM
  ibrav = 0, nat = 5, ntyp = 3
/
ATOMIC_SPECIES
V 50.94 V.upf
Na 22.99 Na.upf
Pd 106.42 Pd.upf
ATOMIC_POSITIONS crystal
V 0.500 0.000 0.000
V 0.000 0.000 0.500
V 0.000 0.500 0.000
Na 0.000 0.000 0.000
Pd 0.500 0.500 0.500
CELL_PARAMETERS angstrom
-3.206 -2.940 0.789
2.116 -2.976 -2.491
2.188 -1.429 3.565
```

The calculation puts the formation energy at 2.1117 eV/atom. The calculation puts the energy relative to the lowest polymorph listed for this composition at 904 meV/atom. The value obtained for the spin magnetization is 3.36 μB per cell.


Entry 2:
Sc4Cu2Hg | PBE | relaxed Values from VASP.

Geometry as Quantum ESPRESSO input:
```
&SYSTEM
  ibrav = 0, nat = 7, ntyp = 3
/
ATOMIC_SPECIES
Sc 44.96 Sc.upf
Cu 63.55 Cu.upf
Hg 200.59 Hg.upf
ATOMIC_POSITIONS crystal
Sc 0.800 0.800 0.601
Sc 0.200 0.200 0.399
Sc 0.611 0.611 0.168
Sc 0.389 0.389 0.832
Cu 0.100 0.100 0.701
Cu 0.900 0.900 0.299
Hg 0.000 0.000 0.000
CELL_PARAMETERS angstrom
-2.592 -3.596 -0.689
-1.541 -2.357 3.492
-8.584 3.155 1.223
```

The calculation puts the formation energy at -0.0147 eV/atom. The calculation puts the energy relative to the lowest polymorph listed for this composition at 149 meV/atom. The value obtained for the spin magnetization is 0.00 μB per cell.


Entry 3:
LiZnPt2 | PBE | relaxed Values from VASP.

Geometry as Quantum ESPRESSO input:
```
&SYSTEM
  ibrav = 0, nat = 4, ntyp = 3
/
ATOMIC_SPECIES
Pt 195.08 Pt.upf
Li 6.94 Li.upf
Zn 65.41 Zn.upf
ATOMIC_POSITIONS crystal
Pt 0.000 0.496 0.504
Pt 0.000 0.004 0.996
Li 0.500 0.750 0.750
Zn 0.500 0.250 0.250
CELL_PARAMETERS angstrom
-2.608 -1.143 2.111
1.717 -1.981 1.048
3.387 1.618 5.059
```

The calculation puts the formation energy at -0.5628 eV/atom. The value obtained for the spin magnetization is 0.00 μB per cell.


Entry 4:
Pr2Cu15Ni2 | PBE | relaxed Values from VASP.

Geometry as Quantum ESPRESSO input:
```
&SYSTEM
  ibrav = 0, nat = 19, ntyp = 3
/
ATOMIC_SPECIES
Cu 63.55 Cu.upf
Pr 140.91 Pr.upf
Ni 58.69 Ni.upf
ATOMIC_POSITIONS crystal
Cu 0.848 0.344 0.344
Cu 0.152 0.656 0.656
Cu 0.656 0.152 0.656
Cu 0.344 0.344 0.848
Cu 0.000 0.500 0.000
Cu 0.288 0.000 0.712
Cu 0.288 0.712 0.000
Cu 0.712 0.288 0.000
Cu 0.656 0.656 0.152
Cu 0.000 0.288 0.712
Cu 0.712 0.000 0.288
Cu 0.000 0.000 0.500
Cu 0.344 0.848 0.344
Cu 0.000 0.712 0.288
Cu 0.500 0.000 0.000
Pr 0.336 0.336 0.336
Pr 0.664 0.664 0.664
Ni 0.097 0.097 0.097
Ni 0.903 0.903 0.903
CELL_PARAMETERS angstrom
6.494 -0.031 -0.028
0.811 6.444 -0.028
0.811 0.712 6.404
```

The calculation puts the formation energy at -0.0976 eV/atom. The value obtained for the spin magnetization is 0.00 μB per cell.


Entry 5:
Tb9Nd11Er4 | PBE | relaxed Values from VASP.

Geometry as Quantum ESPRESSO input:
```
&SYSTEM
  ibrav = 0, nat = 24, ntyp = 3
/
ATOMIC_SPECIES
Er 167.26 Er.upf
Tb 158.93 Tb.upf
Nd 144.24 Nd.upf
ATOMIC_POSITIONS crystal
Er 0.500 0.444 0.241
Er 0.500 0.556 0.759
Er 0.500 0.241 0.444
Er 0.500 0.759 0.556
Tb 0.500 0.630 0.166
Tb 0.500 0.834 0.370
Tb 0.500 0.068 0.214
Tb 0.500 0.500 0.500
Tb 0.500 0.214 0.068
Tb 0.500 0.166 0.630
Tb 0.500 0.932 0.786
Tb 0.500 0.370 0.834
Tb 0.500 0.786 0.932
Nd 0.000 0.595 0.957
Nd 0.000 0.293 0.293
Nd 0.000 0.043 0.405
Nd 0.000 0.957 0.595
Nd 0.000 0.631 0.369
Nd 0.000 0.839 0.161
Nd 0.000 0.161 0.839
Nd 0.000 0.707 0.707
Nd 0.000 0.405 0.043
Nd 0.000 0.369 0.631
Nd 0.000 0.000 0.000
CELL_PARAMETERS angstrom
3.662 0.000 0.000
0.000 14.229 -6.090
0.000 -0.008 15.477
```

The calculation puts the formation energy at 0.0543 eV/atom. The value obtained for the spin magnetization is 0.00 μB per cell.


Entry 6:
NpH2Pt | PBE | relaxed Values from VASP.

Geometry as Quantum ESPRESSO input:
```
&SYSTEM
  ibrav = 0, nat = 4, ntyp = 3
/
ATOMIC_SPECIES
Pt 195.08 Pt.upf
H 1.01 H.upf
Np 237.00 Np.upf
ATOMIC_POSITIONS crystal
Pt 0.000 0.000 0.000
H 0.089 0.089 0.732
H 0.911 0.911 0.268
Np 0.500 0.500 0.500
CELL_PARAMETERS angstrom
-1.942 1.549 1.534
-1.608 -1.304 2.059
3.231 1.384 5.470
```

The electronic total energy comes out at -25.772 eV for the cell shown. The value obtained for the spin magnetization is 3.26 μB per cell.


Entry 7:
LiSmInPb | PBE | relaxed Values from VASP.

Geometry as Quantum ESPRESSO input:
```
&SYSTEM
  ibrav = 0, nat = 4, ntyp = 4
/
ATOMIC_SPECIES
In 114.82 In.upf
Li 6.94 Li.upf
Sm 150.36 Sm.upf
Pb 207.20 Pb.upf
ATOMIC_POSITIONS crystal
In 0.750 0.750 0.750
Li 0.000 0.000 0.000
Sm 0.500 0.500 0.500
Pb 0.250 0.250 0.250
CELL_PARAMETERS angstrom
-2.589 3.792 -2.602
-4.416 2.052 2.034
-0.003 4.941 1.853
```

The calculation puts the formation energy at -0.3466 eV/atom. The calculation puts the energy relative to the lowest polymorph listed for this composition at 81 meV/atom. The value obtained for the spin magnetization is 0.00 μB per cell.


Entry 8:
Y2AlTl | PBE | relaxed Values from VASP.

Geometry as Quantum ESPRESSO input:
```
&SYSTEM
  ibrav = 0, nat = 4, ntyp = 3
/
ATOMIC_SPECIES
Tl 204.38 Tl.upf
Al 26.98 Al.upf
Y 88.91 Y.upf
ATOMIC_POSITIONS crystal
Tl 0.756 0.756 0.756
Al 0.498 0.498 0.498
Y 0.001 0.001 0.001
Y 0.245 0.245 0.245
CELL_PARAMETERS angstrom
-1.178 -8.440 -6.448
1.788 -7.144 -7.743
1.874 -9.268 -4.979
```

The calculation puts the formation energy at 0.0222 eV/atom. The value obtained for the spin magnetization is 0.00 μB per cell.


Entry 9:
Y3HoMg3 | PBE | relaxed Values from VASP.

Geometry as Quantum ESPRESSO input:
```
&SYSTEM
  ibrav = 0, nat = 14, ntyp = 3
/
ATOMIC_SPECIES
Mg 24.30 Mg.upf
Y 88.91 Y.upf
Ho 164.93 Ho.upf
ATOMIC_POSITIONS crystal
Mg 0.675 0.325 0.500
Mg 0.727 0.727 0.507
Mg 0.746 0.254 0.000
Mg 0.325 0.675 0.500
Mg 0.254 0.746 0.000
Mg 0.273 0.273 0.493
Y 0.001 0.001 0.754
Y 0.488 0.010 0.252
Y 0.512 0.990 0.748
Y 0.010 0.488 0.252
Y 0.999 0.999 0.246
Y 0.990 0.512 0.748
Ho 0.319 0.319 0.964
Ho 0.681 0.681 0.036
CELL_PARAMETERS angstrom
-7.288 -1.042 -2.369
-1.201 -3.779 6.641
-2.038 5.838 3.151
```

The calculation puts the formation energy at 0.0742 eV/atom. The value obtained for the spin magnetization is 0.39 μB per cell.


Entry 10:
Sc2PtAu | PBE | relaxed Values from VASP.

Geometry as Quantum ESPRESSO input:
```
&SYSTEM
  ibrav = 0, nat = 4, ntyp = 3
/
ATOMIC_SPECIES
Sc 44.96 Sc.upf
Pt 195.08 Pt.upf
Au 196.97 Au.upf
ATOMIC_POSITIONS crystal
Sc 0.983 0.983 0.983
Sc 0.762 0.762 0.762
Pt 0.252 0.252 0.252
Au 0.503 0.503 0.503
CELL_PARAMETERS angstrom
-2.120 7.450 4.068
-1.777 5.278 6.748
1.019 6.813 5.393
```

The calculation puts the formation energy at -0.4036 eV/atom. The value obtained for the spin magnetization is 0.56 μB per cell.


Entry 11:
CsFe2SnCl8 | PBE | relaxed Values from VASP.

Geometry as Quantum ESPRESSO input:
```
&SYSTEM
  ibrav = 0, nat = 12, ntyp = 4
/
ATOMIC_SPECIES
Cl 35.45 Cl.upf
Fe 55.84 Fe.upf
Cs 132.91 Cs.upf
Sn 118.71 Sn.upf
ATOMIC_POSITIONS crystal
Cl 0.657 0.576 0.109
Cl 0.881 0.974 0.759
Cl 0.119 0.026 0.241
Cl 0.343 0.424 0.891
Cl 0.891 0.469 0.749
Cl 0.109 0.531 0.251
Cl 0.614 0.026 0.241
Cl 0.386 0.974 0.759
Fe 0.705 0.744 0.845
Fe 0.295 0.256 0.155
Cs 0.500 0.500 0.500
Sn 0.000 0.000 0.000
CELL_PARAMETERS angstrom
-1.087 -5.826 4.344
4.398 -1.081 5.865
-2.872 2.607 8.993
```

The value obtained for the spin magnetization is 9.00 μB per cell. For the formation energy without anion corrections, the calculation gives -100.74 kJ/mol of atoms.


Entry 12:
BeCrP | PBE | relaxed Values from VASP.

Geometry as Quantum ESPRESSO input:
```
&SYSTEM
  ibrav = 0, nat = 12, ntyp = 3
/
ATOMIC_SPECIES
Be 9.01 Be.upf
P 30.97 P.upf
Cr 52.00 Cr.upf
ATOMIC_POSITIONS crystal
Be 0.250 0.973 0.250
Be 0.750 0.027 0.750
Be 0.750 0.527 0.250
Be 0.250 0.473 0.750
P 0.750 0.203 0.250
P 0.750 0.703 0.750
P 0.250 0.797 0.750
P 0.250 0.297 0.250
Cr 0.250 0.132 0.750
Cr 0.750 0.868 0.250
Cr 0.250 0.632 0.250
Cr 0.750 0.368 0.750
CELL_PARAMETERS angstrom
4.505 0.000 -0.002
0.000 7.312 0.000
-2.076 0.000 3.710
```

The calculation puts the formation energy at -0.2373 eV/atom. The calculation puts the energy relative to the lowest polymorph listed for this composition at 137 meV/atom. The value obtained for the spin magnetization is 0.00 μB per cell.


Entry 13:
NbVRhW | PBE | relaxed Values from VASP.

Geometry as Quantum ESPRESSO input:
```
&SYSTEM
  ibrav = 0, nat = 4, ntyp = 4
/
ATOMIC_SPECIES
V 50.94 V.upf
Rh 102.91 Rh.upf
Nb 92.91 Nb.upf
W 183.84 W.upf
ATOMIC_POSITIONS crystal
V 0.500 0.500 0.500
Rh 0.250 0.250 0.250
Nb 0.000 0.000 0.000
W 0.750 0.750 0.750
CELL_PARAMETERS angstrom
4.446 0.000 0.000
2.223 3.851 0.000
2.223 1.284 3.630
```

The calculation puts the formation energy at -0.1145 eV/atom. The value obtained for the spin magnetization is 0.00 μB per cell.


Entry 14:
Hf6NiBi2 | PBE | relaxed Values from VASP.

Geometry as Quantum ESPRESSO input:
```
&SYSTEM
  ibrav = 0, nat = 9, ntyp = 3
/
ATOMIC_SPECIES
Hf 178.49 Hf.upf
Bi 208.98 Bi.upf
Ni 58.69 Ni.upf
ATOMIC_POSITIONS crystal
Hf 0.000 0.235 0.000
Hf 0.500 0.000 0.612
Hf 0.000 0.765 0.765
Hf 0.000 0.000 0.235
Hf 0.500 0.612 0.000
Hf 0.500 0.388 0.388
Bi 0.000 0.667 0.333
Bi 0.000 0.333 0.667
Ni 0.500 0.000 0.000
CELL_PARAMETERS angstrom
3.677 0.000 0.000
0.000 7.830 0.000
0.000 -3.915 6.781
```

The calculation puts the formation energy at -0.2588 eV/atom. The value obtained for the spin magnetization is 0.00 μB per cell.


Entry 15:
CeSmVN3 | PBE | relaxed Values from VASP.

Geometry as Quantum ESPRESSO input:
```
&SYSTEM
  ibrav = 0, nat = 12, ntyp = 4
/
ATOMIC_SPECIES
V 50.94 V.upf
N 14.01 N.upf
Ce 140.12 Ce.upf
Sm 150.36 Sm.upf
ATOMIC_POSITIONS crystal
V 0.750 0.909 0.405
V 0.250 0.091 0.595
N 0.750 0.889 0.156
N 0.250 0.604 0.871
N 0.750 0.162 0.511
N 0.750 0.396 0.129
N 0.250 0.111 0.844
N 0.250 0.838 0.489
Ce 0.750 0.370 0.824
Ce 0.250 0.630 0.176
Sm 0.250 0.158 0.160
Sm 0.750 0.842 0.840
CELL_PARAMETERS angstrom
3.480 0.000 0.000
0.000 7.281 0.993
0.000 -1.756 7.361
```

The value obtained for the spin magnetization is 0.00 μB per cell. For the formation energy without anion corrections, the calculation gives -116.84 kJ/mol of atoms.


Entry 16:
CeThPt2 | PBE | relaxed Values from VASP.

Geometry as Quantum ESPRESSO input:
```
&SYSTEM
  ibrav = 0, nat = 4, ntyp = 3
/
ATOMIC_SPECIES
Ce 140.12 Ce.upf
Pt 195.08 Pt.upf
Th 232.04 Th.upf
ATOMIC_POSITIONS crystal
Ce 0.670 0.670 0.990
Pt 0.248 0.248 0.255
Pt 0.084 0.084 0.749
Th 0.498 0.498 0.507
CELL_PARAMETERS angstrom
-1.686 -0.717 3.697
2.394 -0.202 3.355
-0.559 6.655 3.337
```

The calculation puts the formation energy at -1.0425 eV/atom. The calculation puts the energy relative to the lowest polymorph listed for this composition at 124 meV/atom. The value obtained for the spin magnetization is 0.57 μB per cell.


Entry 17:
TlPRh4 | PBE | relaxed Values from VASP.

Geometry as Quantum ESPRESSO input:
```
&SYSTEM
  ibrav = 0, nat = 6, ntyp = 3
/
ATOMIC_SPECIES
Tl 204.38 Tl.upf
Rh 102.91 Rh.upf
P 30.97 P.upf
ATOMIC_POSITIONS crystal
Tl 0.250 0.250 0.250
Rh 0.625 0.124 0.625
Rh 0.625 0.625 0.625
Rh 0.124 0.625 0.625
Rh 0.625 0.625 0.124
P 0.000 0.000 0.000
CELL_PARAMETERS angstrom
1.141 -3.801 3.374
-3.056 -0.812 4.140
-2.990 -4.259 0.234
```

The calculation puts the formation energy at 0.4424 eV/atom. The value obtained for the spin magnetization is 0.00 μB per cell.


Entry 18:
CrRu3 | PBE | relaxed Values from VASP.

Geometry as Quantum ESPRESSO input:
```
&SYSTEM
  ibrav = 0, nat = 16, ntyp = 2
/
ATOMIC_SPECIES
Ru 101.07 Ru.upf
Cr 52.00 Cr.upf
ATOMIC_POSITIONS crystal
Ru 0.692 0.023 0.192
Ru 0.192 0.477 0.308
Ru 0.476 0.250 0.569
Ru 0.524 0.750 0.431
Ru 0.308 0.523 0.808
Ru 0.308 0.977 0.808
Ru 0.024 0.750 0.069
Ru 0.192 0.023 0.308
Ru 0.692 0.477 0.192
Ru 0.976 0.250 0.931
Ru 0.808 0.523 0.692
Ru 0.808 0.977 0.692
Cr 0.938 0.250 0.452
Cr 0.438 0.250 0.048
Cr 0.062 0.750 0.548
Cr 0.562 0.750 0.952
CELL_PARAMETERS angstrom
-4.871 0.851 1.580
0.329 -6.769 4.658
1.757 2.781 3.917
```

The calculation puts the formation energy at 0.1055 eV/atom. The value obtained for the spin magnetization is 0.00 μB per cell.


Entry 19:
TbEr2Al9 | PBE | relaxed Values from VASP.

Geometry as Quantum ESPRESSO input:
```
&SYSTEM
  ibrav = 0, nat = 12, ntyp = 3
/
ATOMIC_SPECIES
Al 26.98 Al.upf
Er 167.26 Er.upf
Tb 158.93 Tb.upf
ATOMIC_POSITIONS crystal
Al 0.500 0.000 0.168
Al 0.000 0.500 0.168
Al 0.500 0.500 0.334
Al 0.500 0.500 0.000
Al 0.500 0.000 0.832
Al 0.500 0.500 0.666
Al 0.500 0.000 0.500
Al 0.000 0.500 0.500
Al 0.000 0.500 0.832
Er 0.000 0.000 0.666
Er 0.000 0.000 0.334
Tb 0.000 0.000 0.000
CELL_PARAMETERS angstrom
4.247 0.000 0.000
0.000 4.247 0.000
0.000 0.000 12.739
```

The calculation puts the formation energy at -0.4178 eV/atom. The value obtained for the spin magnetization is 0.00 μB per cell.


Entry 20:
ErCd7 | PBE | relaxed Values from VASP.

Geometry as Quantum ESPRESSO input:
```
&SYSTEM
  ibrav = 0, nat = 8, ntyp = 2
/
ATOMIC_SPECIES
Cd 112.41 Cd.upf
Er 167.26 Er.upf
ATOMIC_POSITIONS crystal
Cd 0.372 0.872 0.744
Cd 0.500 0.500 0.000
Cd 0.246 0.246 0.492
Cd 0.872 0.372 0.744
Cd 0.754 0.754 0.508
Cd 0.628 0.128 0.256
Cd 0.128 0.628 0.256
Er 0.000 0.000 0.000
CELL_PARAMETERS angstrom
-1.391 0.846 -4.210
-3.873 -2.159 0.845
-1.068 8.380 4.457
```

The calculation puts the formation energy at -0.1345 eV/atom. The value obtained for the spin magnetization is 0.00 μB per cell.